(1)
## ScTiGe2S (PBE-GGA)

Data for ScTiGe2S after structural relaxation.

Values from the calculation:
**ρ**: 4.02 Mg/m³
**Total magnetic moment**: 0.3341 μB/atom
**Electronic total energy**: -5.27 eV/atom
**Uncorrected formation energy**: 252.3 meV per atom

a = 4.923 Å, b = 4.923 Å, c = 4.601 Å
α = 90.00°, β = 90.00°, γ = 90.00°
Positions (direct):
Sc 0.000 0.000 0.000
Ti 0.500 0.500 0.000
Ge 0.000 0.500 0.500
Ge 0.500 0.000 0.500
S 0.000 0.000 0.500

***

(2)
## Sc6TlGe2S3 (PBE-GGA)

Data for Sc6TlGe2S3 after structural relaxation.

Values from the calculation:
**ρ**: 4.95 Mg/m³
**Total magnetic moment**: 0.0000 μB/atom
**Electronic total energy**: -6.39 eV/atom
**Uncorrected formation energy**: -1223.2 meV per atom

a = 8.883 Å, b = 8.883 Å, c = 7.914 Å
α = 110.83°, β = 110.83°, γ = 24.37°
Positions (direct):
Sc 0.012 0.012 0.220
Sc 0.323 0.323 0.435
Sc 0.331 0.331 0.931
Sc 0.669 0.669 0.069
Sc 0.677 0.677 0.565
Sc 0.988 0.988 0.780
Tl 0.500 0.500 0.500
Ge 0.156 0.156 0.803
Ge 0.844 0.844 0.197
S 0.169 0.169 0.317
S 0.500 0.500 0.000
S 0.831 0.831 0.683